This record from Alexandria via LeMat-Bulk describes a relaxed structure of Ce2HoTh4. The functional is PBE.

Properties
- Formation energy from the elements: 0.020 eV/atom
- Offset from the most stable computed form: 0.000 eV per atom
- SG: R-3m, No. 166
- Crystal system: trigonal

```
data_Ce2HoTh4
_chemical_formula_sum 'Ce2 Ho1 Th4'
_cell_length_a 20.083
_cell_length_b 20.083
_cell_length_c 20.083
_cell_angle_alpha 10.06
_cell_angle_beta 10.06
_cell_angle_gamma 10.06
_symmetry_space_group_name_H-M 'P 1'
_symmetry_Int_Tables_number 1
loop_
_symmetry_equiv_pos_as_xyz
'x,y,z'
loop_
_atom_site_label
_atom_site_fract_x
_atom_site_fract_y
_atom_site_fract_z
Ce1 0.072 0.072 0.072
Ce2 0.928 0.928 0.928
Ho1 0.500 0.500 0.500
Th1 0.215 0.215 0.215
Th2 0.357 0.357 0.357
Th3 0.643 0.643 0.643
Th4 0.785 0.785 0.785
```